First-principles (PBE) data for a relaxed structure of HfMnSi2, as listed in Alexandria via LeMat-Bulk.

Cell and atoms, written as POSCAR:
```
HfMnSi2
1.0
1.951 1.126 4.438
-1.951 1.126 4.438
0.000 -2.253 4.438
Hf Mn Si
1 1 2
Direct
0.000 0.000 0.000
0.500 0.500 0.500
0.214 0.214 0.214
0.786 0.786 0.786
```

Values from the calculation:
**D(E_F)**: 2.90 states/eV/f.u.
**E_form (uncorrected)**: -483.1 meV per atom

---

First-principles (PBE) data for a relaxed structure of HfMn10Si2, as listed in Alexandria via LeMat-Bulk.

Cell and atoms, written as POSCAR:
```
HfMn10Si2
1.0
4.069 -4.738 0.000
4.069 4.738 0.000
0.000 0.000 8.013
Hf Mn Si
2 20 4
Direct
0.128 0.872 0.750
0.872 0.128 0.250
0.127 0.369 0.750
0.172 0.828 0.105
0.172 0.828 0.395
0.211 0.211 0.000
0.211 0.211 0.500
0.253 0.475 0.250
0.369 0.127 0.250
0.394 0.606 0.568
0.394 0.606 0.932
0.475 0.253 0.750
0.525 0.747 0.250
0.606 0.394 0.068
0.606 0.394 0.432
0.631 0.873 0.750
0.747 0.525 0.750
0.789 0.789 0.000
0.789 0.789 0.500
0.828 0.172 0.605
0.828 0.172 0.895
0.873 0.631 0.250
0.000 0.500 0.000
0.000 0.500 0.500
0.500 0.000 0.000
0.500 0.000 0.500
```

Values from the calculation:
**D(E_F)**: 12.49 states/eV/f.u.
**E_form (uncorrected)**: -248.0 meV per atom

---

First-principles (PBE) data for a relaxed structure of HfMn3Si, as listed in Alexandria via LeMat-Bulk.

Cell and atoms, written as POSCAR:
```
HfMn3Si
1.0
3.266 -5.142 0.000
3.266 5.142 0.000
0.000 0.000 4.585
Hf Mn Si
2 6 2
Direct
0.062 0.938 0.750
0.938 0.062 0.250
0.056 0.623 0.250
0.377 0.944 0.250
0.500 0.500 0.000
0.500 0.500 0.500
0.623 0.056 0.750
0.944 0.377 0.750
0.305 0.695 0.750
0.695 0.305 0.250
```

Values from the calculation:
**Energy relative to the lowest polymorph listed for this composition**: 0.101 eV per atom
**D(E_F)**: 5.98 states/eV/f.u.
**E_form (uncorrected)**: 428.0 meV per atom

---

First-principles (PBE) data for a relaxed structure of HfMnSi2, as listed in Alexandria via LeMat-Bulk.

Cell and atoms, written as POSCAR:
```
HfMnSi2
1.0
8.957 0.000 0.000
0.000 9.770 0.000
0.000 0.000 7.853
Hf Mn Si
12 12 24
Direct
0.168 0.178 0.000
0.175 0.451 0.246
0.175 0.451 0.754
0.325 0.951 0.246
0.325 0.951 0.754
0.332 0.678 0.000
0.668 0.322 0.000
0.675 0.049 0.246
0.675 0.049 0.754
0.825 0.549 0.246
0.825 0.549 0.754
0.832 0.822 0.000
0.000 0.000 0.245
0.000 0.000 0.755
0.084 0.746 0.249
0.084 0.746 0.751
0.416 0.246 0.249
0.416 0.246 0.751
0.500 0.500 0.245
0.500 0.500 0.755
0.584 0.754 0.249
0.584 0.754 0.751
0.916 0.254 0.249
0.916 0.254 0.751
0.038 0.619 0.000
0.040 0.624 0.500
0.111 0.896 0.500
0.125 0.893 0.000
0.165 0.181 0.350
0.165 0.181 0.650
0.335 0.681 0.350
0.335 0.681 0.650
0.375 0.393 0.000
0.389 0.396 0.500
0.460 0.124 0.500
0.462 0.119 0.000
0.538 0.881 0.000
0.540 0.876 0.500
0.611 0.604 0.500
0.625 0.607 0.000
0.665 0.319 0.350
0.665 0.319 0.650
0.835 0.819 0.350
0.835 0.819 0.650
0.875 0.107 0.000
0.889 0.104 0.500
0.960 0.376 0.500
0.962 0.381 0.000
```

Values from the calculation:
**D(E_F)**: 2.05 states/eV/f.u.
**E_form (uncorrected)**: -669.1 meV per atom

---

The highest D(E_F) belongs to which entry?
HfMn10Si2